First-principles (GGA-PBE) data for crystalline AcSi3NiIr at its relaxed geometry, as listed in Alexandria via LeMat-Bulk.

* electronic total energy: -6.36 eV/atom
* energy relative to the elements, uncorrected: -0.53 eV per atom
* spin magnetization: 0.0 μB/f.u.

Cell: 6.275 12.039 6.184 Å, 90.00 90.00 90.00°
Space group Cmcm (No. 63)
Symmetry-distinct sites (fractional):
Ac1 0.000 0.244 0.250 [4 per cell]
Si1 0.000 0.216 0.750 [4 per cell]
Si2 0.230 0.500 0.000 [8 per cell]
Ni1 0.000 0.042 0.750 [4 per cell]
Ir1 0.000 0.404 0.750 [4 per cell]

---

First-principles (GGA-PBE) data for crystalline Pa3Tl3PtSe8 at its relaxed geometry, as listed in Alexandria via LeMat-Bulk.

* electronic total energy: -5.49 eV/atom
* energy relative to the elements, uncorrected: -0.85 eV per atom
* spin magnetization: 3.0 μB/f.u.

Cell: 13.601 8.383 9.055 Å, 90.00 118.21 90.00°
Space group C2/m (No. 12)
Symmetry-distinct sites (fractional):
Pa1 0.000 0.000 0.000 [2 per cell]
Pa2 0.250 0.250 0.000 [4 per cell]
Tl1 0.000 0.500 0.500 [2 per cell]
Tl2 0.250 0.250 0.500 [4 per cell]
Pt1 0.000 0.500 0.000 [2 per cell]
Se1 0.020 0.233 0.789 [8 per cell]
Se2 0.211 0.500 0.185 [4 per cell]
Se3 0.238 0.000 0.210 [4 per cell]

---

First-principles (GGA-PBE) data for crystalline SrCuAg2 at its relaxed geometry, as listed in Alexandria via LeMat-Bulk.

* relative energy among the computed polymorphs: 164 meV/atom
* electronic total energy: -2.82 eV/atom
* spin magnetization: 0.0 μB/f.u.

Cell: 4.622 4.622 8.328 Å, 90.00 90.00 90.00°
Space group I4/mmm (No. 139)
Symmetry-distinct sites (fractional):
Sr1 0.000 0.000 0.000 [2 per cell]
Cu1 0.000 0.000 0.500 [2 per cell]
Ag1 0.000 0.500 0.250 [4 per cell]

---

First-principles (GGA-PBE) data for crystalline Sc2VW2 at its relaxed geometry, as listed in Alexandria via LeMat-Bulk.

* electronic total energy: -9.18 eV/atom
* spin magnetization: 0.0 μB/f.u.

Cell: 6.364 6.364 4.738 Å, 90.00 90.00 90.00°
Space group P4/mbm (No. 127)
Symmetry-distinct sites (fractional):
Sc1 0.169 0.331 0.000 [4 per cell]
V1 0.000 0.000 0.500 [2 per cell]
W1 0.142 0.642 0.500 [4 per cell]

---

First-principles (GGA-PBE) data for crystalline CsHg5Bi2 at its relaxed geometry, as listed in Alexandria via LeMat-Bulk.

* electronic total energy: -1.36 eV/atom
* spin magnetization: 0.0 μB/f.u.

Cell: 5.830 11.747 16.733 Å, 90.00 90.00 90.00°
Space group Cmcm (No. 63)
Symmetry-distinct sites (fractional):
Cs1 0.000 0.038 0.250 [4 per cell]
Hg1 0.000 0.159 0.028 [8 per cell]
Hg2 0.000 0.270 0.750 [4 per cell]
Hg3 0.000 0.346 0.154 [8 per cell]
Bi1 0.000 0.404 0.564 [8 per cell]

---

First-principles (GGA-PBE) data for crystalline Al2HgI2 at its relaxed geometry, as listed in Alexandria via LeMat-Bulk.

* relative energy among the computed polymorphs: 15 meV/atom
* electronic total energy: -2.01 eV/atom
* energy relative to the elements, uncorrected: 0.17 eV per atom
* spin magnetization: 0.0 μB/f.u.

Cell: 6.034 6.034 12.678 Å, 90.00 90.00 90.00°
Space group I4/mmm (No. 139)
Symmetry-distinct sites (fractional):
Al1 0.000 0.500 0.250 [4 per cell]
Hg1 0.000 0.000 0.000 [2 per cell]
I1 0.000 0.000 0.329 [4 per cell]

---

First-principles (GGA-PBE) data for crystalline Li3Pm12Ni5 at its relaxed geometry, as listed in Alexandria via LeMat-Bulk.

* electronic total energy: -4.37 eV/atom
* spin magnetization: 0.0 μB/f.u.

Cell: 17.085 17.085 17.085 Å, 90.00 90.00 90.00°
Space group Ia-3d (No. 230)
Symmetry-distinct sites (fractional):
Li1 0.000 0.250 0.125 [24 per cell]
Pm1 0.031 0.059 0.646 [96 per cell]
Ni1 0.000 0.000 0.000 [16 per cell]
Ni2 0.000 0.250 0.375 [24 per cell]

---

First-principles (GGA-PBE) data for crystalline NaCo5S8 at its relaxed geometry, as listed in Alexandria via LeMat-Bulk.

* electronic total energy: -5.44 eV/atom
* energy relative to the elements, uncorrected: -0.45 eV per atom
* spin magnetization: 0.0 μB/f.u.

Cell: 17.463 3.348 8.018 Å, 90.00 108.21 90.00°
Space group Cm (No. 8)
Symmetry-distinct sites (fractional):
Na1 0.000 0.000 0.000 [2 per cell]
Co1 0.001 0.500 0.500 [2 per cell]
Co2 0.158 0.000 0.461 [2 per cell]
Co3 0.203 0.000 0.822 [2 per cell]
Co4 0.299 0.500 0.177 [2 per cell]
Co5 0.344 0.500 0.538 [2 per cell]
S1 0.080 0.000 0.628 [2 per cell]
S2 0.080 0.500 0.316 [2 per cell]
S3 0.177 0.500 0.980 [2 per cell]
S4 0.238 0.500 0.648 [2 per cell]
S5 0.263 0.000 0.351 [2 per cell]
S6 0.325 0.000 0.019 [2 per cell]
S7 0.421 0.000 0.683 [2 per cell]
S8 0.422 0.500 0.372 [2 per cell]

---

First-principles (GGA-PBE) data for crystalline KTeRh2 at its relaxed geometry, as listed in Alexandria via LeMat-Bulk.

* electronic total energy: -4.85 eV/atom
* energy relative to the elements, uncorrected: -0.11 eV per atom
* spin magnetization: 0.0 μB/f.u.

Cell: 4.4500 4.4500 18.2229 Å, 90.00 90.00 120.00°
Space group R3m (No. 160, hexagonal axes)
Symmetry-distinct sites (fractional):
K1 0.0000 0.0000 0.0000 [3 per cell]
Te1 0.0000 0.0000 0.8061 [3 per cell]
Rh1 0.0000 0.0000 0.1949 [3 per cell]
Rh2 0.0000 0.0000 0.5258 [3 per cell]

---

First-principles (GGA-PBE) data for crystalline CeHo2Ga6 at its relaxed geometry, as listed in Alexandria via LeMat-Bulk.

* relative energy among the computed polymorphs: 0 meV/atom
* electronic total energy: -4.30 eV/atom
* spin magnetization: 0.5 μB/f.u.

Cell: 7.3293 7.3293 4.1075 Å, 90.00 90.00 120.00°
Space group P6/mmm (No. 191)
Symmetry-distinct sites (fractional):
Ce1 0.0000 0.0000 0.0000 [1 per cell]
Ho1 0.3333 0.6667 0.0000 [2 per cell]
Ga1 0.0000 0.3341 0.5000 [6 per cell]

---

First-principles (GGA-PBE) data for crystalline K2BeGaAu6 at its relaxed geometry, as listed in Alexandria via LeMat-Bulk.

* electronic total energy: -3.11 eV/atom
* spin magnetization: 0.0 μB/f.u.

Cell: 6.812 6.824 6.831 Å, 61.54 61.37 61.39°
Space group P-1 (No. 2)
Symmetry-distinct sites (fractional):
K1 0.212 0.212 0.213 [2 per cell]
Be1 0.500 0.500 0.500 [1 per cell]
Ga1 0.000 0.000 0.000 [1 per cell]
Au1 0.255 0.258 0.663 [2 per cell]
Au2 0.256 0.663 0.256 [2 per cell]
Au3 0.339 0.744 0.744 [2 per cell]

---

First-principles (GGA-PBE) data for crystalline MgGa3Mo at its relaxed geometry, as listed in Alexandria via LeMat-Bulk.

* relative energy among the computed polymorphs: 308 meV/atom
* electronic total energy: -3.94 eV/atom
* spin magnetization: 0.0 μB/f.u.

Cell: 4.897 4.897 4.897 Å, 90.00 90.00 90.00°
Space group Pm-3m (No. 221)
Symmetry-distinct sites (fractional):
Mg1 0.000 0.000 0.000 [1 per cell]
Ga1 0.000 0.500 0.500 [3 per cell]
Mo1 0.500 0.500 0.500 [1 per cell]

---

- What is the formula in the fifth record?
  CsHg5Bi2

---

- The highest electronic total energy belongs to which entry?
  CsHg5Bi2